The following is a DFT calculation (GGA+U) of a geometry-optimized CrWOF2 structure.

```
data_CrWOF2
_space_group_name_H-M_alt 'P 1'
_space_group_IT_number 1
_cell_length_a 4.261
_cell_length_b 4.261
_cell_length_c 4.206
_cell_angle_alpha 90.00
_cell_angle_beta 90.00
_cell_angle_gamma 90.00
loop_
_space_group_symop_operation_xyz
'x,y,z'
loop_
_atom_site_label
_atom_site_type_symbol
_atom_site_fract_x
_atom_site_fract_y
_atom_site_fract_z
Cr1 Cr 0.500 0.500 0.500
F1 F 0.000 0.500 0.000
F2 F 0.500 0.000 0.000
O1 O 0.000 0.000 0.500
W1 W 0.000 0.000 0.000
```

* magnetization: 8.00 μB per formula unit
* symmetry: P4/mmm, No. 123
* volume: 15.268 Å³/atom
* uncorrected energy: -30.62 eV/cell